Below is a relaxed CoTeO3 crystal, with properties calculated at the PBE with a Hubbard U level.

Geometry as CIF:
```
data_CoTeO3
_chemical_formula_sum 'Co1 Te1 O3'
_cell_length_a 3.746
_cell_length_b 3.746
_cell_length_c 3.746
_cell_angle_alpha 90.00
_cell_angle_beta 90.00
_cell_angle_gamma 90.00
_symmetry_space_group_name_H-M 'P m -3 m'
_symmetry_Int_Tables_number 221
_symmetry_space_group_name_Hall '-P 4 2 3'
loop_
_atom_site_label
_atom_site_type_symbol
_atom_site_fract_x
_atom_site_fract_y
_atom_site_fract_z
_atom_site_occupancy
Co1 Co 0.000 0.000 0.000 1
Te1 Te 0.500 0.500 0.500 1
O1 O 0.000 0.000 0.500 1
```

Uncorrected energy   -4.97 eV per atom